<A>
First-principles (PBE) data for an optimized crystal structure of NaTaGe3, as listed in Alexandria.

Properties
Fermi-level density of states: 0.988 states/eV/atom

abc: 4.774 4.774 4.774
angles: 90.00 90.00 90.00
Space group Pm-3m (No. 221)
Unique sites:
Na (0.000, 0.000, 0.000)
Ta (0.500, 0.500, 0.500)
Ge (0.000, 0.000, 0.500)

---

<B>
First-principles (PBE) data for an optimized crystal structure of NaTaGe3, as listed in Alexandria.

Properties
Fermi-level density of states: 0.308 states/eV/atom

abc: 5.060 5.060 5.060
angles: 90.00 90.00 90.00
Space group Pm-3m (No. 221)
Unique sites:
Na (0.000, 0.000, 0.000)
Ta (0.500, 0.500, 0.500)
Ge (0.000, 0.500, 0.500)

---

Most stable structure: <B>

---

<A>
First-principles (PBE) data for an optimized crystal structure of Na3TaGe, as listed in Alexandria.

Properties
Fermi-level density of states: 1.141 states/eV/atom

abc: 5.771 5.771 5.771
angles: 90.00 90.00 90.00
Space group Pm-3m (No. 221)
Unique sites:
Na (0.000, 0.000, 0.500)
Ta (0.000, 0.000, 0.000)
Ge (0.500, 0.500, 0.500)

---

<B>
First-principles (PBE) data for an optimized crystal structure of Na3TaGe, as listed in Alexandria.

Properties
Fermi-level density of states: 1.081 states/eV/atom

abc: 5.409 5.409 5.409
angles: 90.00 90.00 90.00
Space group Pm-3m (No. 221)
Unique sites:
Na (0.000, 0.000, 0.500)
Ta (0.500, 0.500, 0.500)
Ge (0.000, 0.000, 0.000)

---

Most stable structure: <B>

---

<A>
First-principles (PBE) data for an optimized crystal structure of Na2Tc2Ge, as listed in Alexandria.

Properties
Fermi-level density of states: 0.958 states/eV/atom

abc: 6.279 6.279 5.235
angles: 90.00 90.00 90.00
Space group P4/mbm (No. 127)
Unique sites:
Na (0.176, 0.324, 0.000)
Tc (0.126, 0.626, 0.500)
Ge (0.000, 0.000, 0.500)

---

<B>
First-principles (PBE) data for an optimized crystal structure of Na2Tc2Ge, as listed in Alexandria.

Properties
Fermi-level density of states: 0.764 states/eV/atom

abc: 5.784 5.784 7.129
angles: 90.00 90.00 90.00
Space group I4/mmm (No. 139)
Unique sites:
Na (0.000, 0.500, 0.250)
Tc (0.000, 0.000, 0.150)
Ge (0.000, 0.000, 0.500)

---

Most stable structure: <A>

---

<A>
First-principles (PBE) data for an optimized crystal structure of NaGe3Te4, as listed in Alexandria.

Properties
Fermi-level density of states: 0.461 states/eV/atom

abc: 7.370 4.114 7.994
angles: 90.00 107.96 90.00
Space group Pm (No. 6)
Unique sites:
Na (0.000, 0.000, 0.000)
Ge (0.009, 0.500, 0.547)
Ge (0.502, 0.000, 0.500)
Ge (0.514, 0.500, 0.070)
Te (0.252, 0.000, 0.730)
Te (0.268, 0.500, 0.267)
Te (0.739, 0.500, 0.724)
Te (0.749, 0.000, 0.258)

---

<B>
First-principles (PBE) data for an optimized crystal structure of NaGe3Te4, as listed in Alexandria.

Properties
Fermi-level density of states: 0.212 states/eV/atom

abc: 10.212 8.819 6.286
angles: 90.00 90.00 90.00
Space group Pmn2_1 (No. 31)
Unique sites:
Na (0.000, 0.164, 0.000)
Ge (0.000, 0.833, 0.485)
Ge (0.247, 0.337, 0.469)
Te (0.000, 0.202, 0.504)
Te (0.000, 0.798, 0.049)
Te (0.226, 0.649, 0.532)

---

Most stable structure: <A>

---

<A>
First-principles (PBE) data for an optimized crystal structure of NaGeTe3, as listed in Alexandria.

Properties
Fermi-level density of states: 0.862 states/eV/atom

abc: 5.522 5.522 5.522
angles: 90.00 90.00 90.00
Space group Pm-3m (No. 221)
Unique sites:
Na (0.000, 0.000, 0.000)
Ge (0.500, 0.500, 0.500)
Te (0.000, 0.500, 0.500)

---

<B>
First-principles (PBE) data for an optimized crystal structure of NaGeTe3, as listed in Alexandria.

Properties
Fermi-level density of states: 0.121 states/eV/atom

abc: 6.489 6.661 9.252
angles: 95.07 93.25 118.68
Space group P-1 (No. 2)
Unique sites:
Na (0.025, 0.473, 0.298)
Ge (0.482, 0.252, 0.011)
Te (0.148, 0.819, 0.021)
Te (0.279, 0.976, 0.530)
Te (0.433, 0.412, 0.758)

---

<C>
First-principles (PBE) data for an optimized crystal structure of NaGeTe3, as listed in Alexandria.

Properties
Fermi-level density of states: 0.517 states/eV/atom

abc: 6.967 6.668 7.512
angles: 90.00 108.09 90.00
Space group P2_1/m (No. 11)
Unique sites:
Na (0.081, 0.250, 0.392)
Ge (0.368, 0.750, 0.008)
Te (0.002, 0.250, 0.969)
Te (0.398, 0.519, 0.709)

---

<D>
First-principles (PBE) data for an optimized crystal structure of NaGeTe3, as listed in Alexandria.

Properties
Fermi-level density of states: 1.365 states/eV/atom

abc: 5.480 5.480 5.480
angles: 90.00 90.00 90.00
Space group Pm-3m (No. 221)
Unique sites:
Na (0.000, 0.000, 0.000)
Ge (0.500, 0.500, 0.500)
Te (0.000, 0.000, 0.500)

---

Most stable structure: <B>

---

<A>
First-principles (PBE) data for an optimized crystal structure of Na3Ge2Te4, as listed in Alexandria.

Properties
Fermi-level density of states: 0.204 states/eV/atom

abc: 16.221 8.305 8.835
angles: 90.00 90.11 90.00
Space group C2/c (No. 15)
Unique sites:
Na (0.000, 0.001, 0.250)
Na (0.113, 0.424, 0.685)
Ge (0.196, 0.141, 0.973)
Te (0.049, 0.270, 0.006)
Te (0.229, 0.102, 0.666)

---

<B>
First-principles (PBE) data for an optimized crystal structure of Na3Ge2Te4, as listed in Alexandria.

Properties
Fermi-level density of states: 0.271 states/eV/atom

abc: 13.077 11.405 8.076
angles: 90.00 90.68 90.00
Space group C2/c (No. 15)
Unique sites:
Na (0.000, 0.124, 0.250)
Na (0.136, 0.377, 0.626)
Ge (0.195, 0.127, 0.907)
Te (0.100, 0.341, 0.031)
Te (0.153, 0.079, 0.574)

---

Most stable structure: <A>

---

<A>
First-principles (PBE) data for an optimized crystal structure of Na8Tl2Ge, as listed in Alexandria.

Properties
Fermi-level density of states: 0.558 states/eV/atom

abc: 8.761 15.197 5.575
angles: 90.00 115.15 90.00
Space group C2/m (No. 12)
Unique sites:
Na (0.000, 0.202, 0.000)
Na (0.132, 0.500, 0.804)
Na (0.198, 0.109, 0.624)
Tl (0.000, 0.311, 0.500)
Ge (0.000, 0.000, 0.000)

---

<B>
First-principles (PBE) data for an optimized crystal structure of Na8Tl2Ge, as listed in Alexandria.

Properties
Fermi-level density of states: 0.317 states/eV/atom

abc: 18.292 5.486 6.246
angles: 90.00 92.14 90.00
Space group C2/m (No. 12)
Unique sites:
Na (0.043, 0.000, 0.232)
Na (0.085, 0.500, 0.582)
Na (0.154, 0.000, 0.821)
Na (0.165, 0.500, 0.123)
Tl (0.233, 0.000, 0.365)
Ge (0.000, 0.500, 0.000)

---

Most stable structure: <B>

---

<A>
First-principles (PBE) data for an optimized crystal structure of Na4TlGe, as listed in Alexandria.

Properties
Fermi-level density of states: 0.411 states/eV/atom

abc: 5.113 10.492 12.606
angles: 90.00 100.70 90.00
Space group C2/m (No. 12)
Unique sites:
Na (0.000, 0.156, 0.000)
Na (0.134, 0.161, 0.269)
Na (0.193, 0.500, 0.402)
Tl (0.065, 0.500, 0.130)
Ge (0.000, 0.240, 0.500)

---

<B>
First-principles (PBE) data for an optimized crystal structure of Na4TlGe, as listed in Alexandria.

Properties
Fermi-level density of states: 0.488 states/eV/atom

abc: 6.271 5.976 9.624
angles: 90.00 90.00 90.00
Space group Pmn2_1 (No. 31)
Unique sites:
Na (0.000, 0.130, 0.000)
Na (0.000, 0.163, 0.385)
Na (0.249, 0.621, 0.186)
Tl (0.000, 0.888, 0.679)
Ge (0.000, 0.627, 0.913)

---

Most stable structure: <A>

---

<A>
First-principles (PBE) data for an optimized crystal structure of Na3TlGe, as listed in Alexandria.

Properties
Fermi-level density of states: 0.549 states/eV/atom

abc: 12.597 10.239 9.146
angles: 90.00 104.95 90.00
Space group C2/c (No. 15)
Unique sites:
Na (0.115, 0.201, 0.030)
Na (0.155, 0.164, 0.620)
Na (0.201, 0.483, 0.608)
Tl (0.000, 0.036, 0.250)
Tl (0.000, 0.411, 0.750)
Ge (0.096, 0.320, 0.335)

---

<B>
First-principles (PBE) data for an optimized crystal structure of Na3TlGe, as listed in Alexandria.

Properties
Fermi-level density of states: 0.406 states/eV/atom

abc: 5.601 5.601 5.601
angles: 90.00 90.00 90.00
Space group Pm-3m (No. 221)
Unique sites:
Na (0.000, 0.000, 0.500)
Tl (0.500, 0.500, 0.500)
Ge (0.000, 0.000, 0.000)

---

<C>
First-principles (PBE) data for an optimized crystal structure of Na3TlGe, as listed in Alexandria.

Properties
Fermi-level density of states: 0.466 states/eV/atom

abc: 10.449 4.842 10.835
angles: 90.00 93.06 90.00
Space group C2/m (No. 12)
Unique sites:
Na (0.030, 0.000, 0.353)
Na (0.115, 0.500, 0.900)
Na (0.210, 0.500, 0.227)
Tl (0.160, 0.500, 0.553)
Ge (0.084, 0.000, 0.080)

---

Most stable structure: <C>

---

<A>
First-principles (PBE) data for an optimized crystal structure of NaTlGe3, as listed in Alexandria.

Properties
Fermi-level density of states: 0.923 states/eV/atom

abc: 5.165 5.165 5.165
angles: 90.00 90.00 90.00
Space group Pm-3m (No. 221)
Unique sites:
Na (0.000, 0.000, 0.000)
Tl (0.500, 0.500, 0.500)
Ge (0.000, 0.000, 0.500)

---

<B>
First-principles (PBE) data for an optimized crystal structure of NaTlGe3, as listed in Alexandria.

Properties
Fermi-level density of states: 0.681 states/eV/atom

abc: 5.466 5.466 5.466
angles: 90.00 90.00 90.00
Space group Pm-3m (No. 221)
Unique sites:
Na (0.000, 0.000, 0.000)
Tl (0.500, 0.500, 0.500)
Ge (0.000, 0.500, 0.500)

---

Most stable structure: <B>